An optimized crystal structure of PaMnTe, computed with PBE.

Properties
N(E_F) = 10.86 states/eV per cell
E_tot = -7.383 eV per atom
Formation energy without anion corrections = -0.11 eV per atom
Space group = No. 43
Relative energy among the computed polymorphs = 0.126 eV per atom

Lattice parameters (Å, degrees): 7.816 6.587 7.816 72.36 60.70 107.64
Sites, in units of the cell vectors:
Mn  0.139  0.789  0.950
Mn  0.300  0.289  0.111
Mn  0.261  0.211  0.650
Mn  0.600  0.711  0.989
Pa  0.082  0.955  0.590
Pa  0.455  0.045  0.873
Pa  0.660  0.455  0.168
Pa  0.377  0.545  0.795
Te  0.925  0.309  0.331
Te  0.867  0.191  0.890
Te  0.360  0.691  0.383
Te  0.919  0.809  0.325